Entry 1:
Li2Sm2In (PBE-GGA, optimized geometry); symmetry = C2/c
1.0
6.338 0.000 1.914
2.837 5.283 2.056
0.968 1.031 8.244
Li In Sm
4 2 4
direct
0.060 0.201 0.942 Li
0.204 0.299 0.558 Li
0.940 0.799 0.058 Li
0.796 0.701 0.442 Li
0.248 0.750 0.250 In
0.752 0.250 0.750 In
0.776 0.268 0.344 Sm
0.612 0.768 0.844 Sm
0.388 0.232 0.156 Sm
0.224 0.732 0.656 Sm

Entry 2:
LiSmIn6 (PBE-GGA, optimized geometry); symmetry = Cmmm
1.0
-3.243 0.617 -3.354
3.529 -3.651 -4.083
-3.134 -5.332 2.050
In Sm Li
6 1 1
direct
0.000 0.745 0.255 In
0.500 0.000 0.500 In
0.500 0.500 0.000 In
0.000 0.745 0.745 In
0.000 0.255 0.255 In
0.000 0.255 0.745 In
0.500 0.000 0.000 Sm
0.500 0.500 0.500 Li

Entry 3:
Li4Sm3In4 (PBE-GGA, optimized geometry); symmetry = C2/m
1.0
3.463 0.000 0.002
0.000 4.985 0.006
1.719 2.488 15.504
Sm Li In
3 4 4
direct
0.142 0.643 0.716 Sm
0.000 0.000 0.000 Sm
0.858 0.357 0.284 Sm
0.740 0.740 0.521 Li
0.260 0.260 0.479 Li
0.593 0.093 0.815 Li
0.407 0.907 0.185 Li
0.451 0.450 0.099 In
0.316 0.815 0.368 In
0.549 0.550 0.901 In
0.684 0.185 0.632 In

Entry 4:
LiSmInSn (PBE-GGA, optimized geometry); symmetry = Pmmm
1.0
-3.399 2.681 -1.277
-2.584 -3.669 -0.826
-1.584 0.114 4.453
Sn Li Sm In
1 1 1 1
direct
0.000 0.000 0.000 Sn
0.500 0.000 0.500 Li
0.500 0.500 0.000 Sm
0.000 0.500 0.500 In

Q: Which DFT total energy values were calculated for the entries above? A: -3.3435 -3.1449 -3.3182 -3.8609, in eV per atom.
Q: Which formation energy from the elements values were calculated for the entries above? A: -143 -262 -339 -517, in meV per atom.
Q: Which total magnetization values were calculated for the entries above? A: 0.0 0.0 0.0 0.0, in μB/cell.